A plane-wave DFT calculation with PBE was carried out for Li6NpN4 after structural relaxation.

abc: 7.251 7.251 4.709
angles: 90.00 90.00 90.00
Positions (direct):
1 Li 0.035 0.535 0.250
2 Li 0.035 0.965 0.250
3 Li 0.250 0.250 0.110
4 Li 0.250 0.250 0.610
5 Li 0.465 0.535 0.250
6 Li 0.465 0.965 0.250
7 Li 0.535 0.035 0.750
8 Li 0.535 0.465 0.750
9 Li 0.750 0.750 0.390
10 Li 0.750 0.750 0.890
11 Li 0.965 0.035 0.750
12 Li 0.965 0.465 0.750
13 Np 0.250 0.750 0.750
14 Np 0.750 0.250 0.250
15 N 0.015 0.250 0.368
16 N 0.250 0.015 0.868
17 N 0.250 0.485 0.868
18 N 0.485 0.250 0.368
19 N 0.515 0.750 0.632
20 N 0.750 0.515 0.132
21 N 0.750 0.985 0.132
22 N 0.985 0.750 0.632

Uncorrected formation energy: -601 meV per atom
Calculated density: 4.5 g cm⁻³
Space-group type: P4_2/nmc
Size of the total moment: 0.00 μB per formula unit